1.
The following is a PBE-GGA calculation of a relaxed HIrSeBr2 crystal, from Alexandria.

**E**: -3.148 eV per atom

Unit cell a=5.328 b=5.328 c=4.628 alpha=90.00 beta=90.00 gamma=90.00
Fractional positions:
H: 0.500 0.500 0.500
Ir: 0.000 0.000 0.000
Se: 0.000 0.000 0.500
Br: 0.000 0.500 0.000
Br: 0.500 0.000 0.000


2.
The following is a PBE-GGA calculation of a relaxed Pr3AlIr3 crystal, from Alexandria.

**Formation enthalpy at 0 K**: -721 meV/atom
**E**: -7.102 eV per atom

Unit cell a=4.164 b=5.775 c=14.192 alpha=90.00 beta=90.00 gamma=111.13
Fractional positions:
Pr: 0.211 0.422 0.893
Pr: 0.789 0.578 0.107
Pr: 0.211 0.422 0.607
Pr: 0.789 0.578 0.393
Pr: 0.492 0.983 0.750
Pr: 0.508 0.017 0.250
Al: 0.500 0.000 0.000
Al: 0.500 0.000 0.500
Ir: 0.924 0.849 0.913
Ir: 0.076 0.151 0.087
Ir: 0.924 0.849 0.587
Ir: 0.076 0.151 0.413
Ir: 0.778 0.556 0.750
Ir: 0.222 0.444 0.250


3.
The following is a PBE-GGA calculation of a relaxed K4MgTl4 crystal, from Alexandria.

**Formation enthalpy at 0 K**: 79 meV/atom
**E**: -1.637 eV per atom

Unit cell a=6.981 b=9.178 c=6.981 alpha=67.65 beta=90.00 gamma=112.35
Fractional positions:
K: 0.199 0.777 0.422
K: 0.578 0.777 0.801
K: 0.422 0.223 0.578
K: 0.801 0.223 0.199
Mg: 0.000 0.000 0.000
Tl: 0.342 0.326 0.016
Tl: 0.984 0.326 0.658
Tl: 0.016 0.674 0.984
Tl: 0.658 0.674 0.342


4.
The following is a PBE-GGA calculation of a relaxed TaTlCuI2 crystal, from Alexandria.

**ΔE_f (raw)**: 0.8707 eV per atom
**E**: -3.412 eV per atom

Unit cell a=5.602 b=4.983 c=5.602 alpha=90.00 beta=90.00 gamma=90.00
Fractional positions:
I: 0.000 0.000 0.500
I: 0.500 0.000 0.000
Tl: 0.500 0.500 0.500
Cu: 0.000 0.000 0.000
Ta: 0.000 0.500 0.000


5.
The following is a PBE-GGA calculation of a relaxed Li4Zn3Ga4 crystal, from Alexandria.

**Formation enthalpy at 0 K**: -136 meV/atom
**E**: -2.280 eV per atom

Unit cell a=2.760 b=7.820 c=9.493 alpha=114.32 beta=98.36 gamma=90.00
Fractional positions:
Li: 0.649 0.462 0.299
Li: 0.351 0.164 0.701
Li: 0.351 0.538 0.701
Li: 0.649 0.836 0.299
Zn: 0.894 0.894 0.788
Zn: 0.106 0.106 0.212
Zn: 0.000 0.500 0.000
Ga: 0.739 0.239 0.478
Ga: 0.261 0.761 0.522
Ga: 0.500 0.800 0.000
Ga: 0.500 0.200 0.000


6.
The following is a PBE-GGA calculation of a relaxed NdSi2Mo4 crystal, from Alexandria.

**ΔE_f (raw)**: -0.2052 eV per atom
**E**: -8.625 eV per atom

Unit cell a=4.402 b=4.440 c=6.952 alpha=108.62 beta=90.00 gamma=90.00
Fractional positions:
Nd: 0.000 0.000 0.000
Si: 0.500 0.595 0.191
Si: 0.500 0.405 0.809
Mo: 0.500 0.806 0.613
Mo: 0.000 0.697 0.395
Mo: 0.500 0.194 0.387
Mo: 0.000 0.303 0.605


7.
The following is a PBE-GGA calculation of a relaxed YHo6Er2Tm crystal, from Alexandria.

**Formation enthalpy at 0 K**: 118 meV/atom
**E**: -4.635 eV per atom

Unit cell a=9.456 b=8.717 c=8.717 alpha=118.13 beta=93.72 gamma=93.72
Fractional positions:
Y: 0.250 0.977 0.023
Y: 0.750 0.023 0.977
Ho: 0.056 0.127 0.752
Ho: 0.444 0.248 0.873
Ho: 0.944 0.873 0.248
Ho: 0.556 0.752 0.127
Ho: 0.315 0.981 0.431
Ho: 0.185 0.569 0.019
Ho: 0.685 0.019 0.569
Ho: 0.815 0.431 0.981
Ho: 0.119 0.711 0.497
Ho: 0.381 0.503 0.289
Ho: 0.881 0.289 0.503
Ho: 0.619 0.497 0.711
Er: 0.456 0.802 0.694
Er: 0.044 0.306 0.198
Er: 0.544 0.198 0.306
Er: 0.956 0.694 0.802
Tm: 0.250 0.410 0.590
Tm: 0.750 0.590 0.410


8.
The following is a PBE-GGA calculation of a relaxed TiIrIN2 crystal, from Alexandria.

**ΔE_f (raw)**: 0.9547 eV per atom
**E**: -6.037 eV per atom

Unit cell a=3.820 b=3.820 c=7.254 alpha=90.00 beta=90.00 gamma=90.00
Fractional positions:
I: 0.000 0.000 0.500
N: 0.000 0.500 0.000
N: 0.500 0.000 0.000
Ir: 0.000 0.000 0.000
Ti: 0.500 0.500 0.500


9.
The following is a PBE-GGA calculation of a relaxed Rb2Mg crystal, from Alexandria.

**Formation enthalpy at 0 K**: 269 meV/atom
**E**: -0.908 eV per atom

Unit cell a=4.675 b=4.675 c=10.209 alpha=90.00 beta=90.00 gamma=120.00
Fractional positions:
Mg: 0.000 0.000 0.000
Rb: 0.333 0.667 0.289
Rb: 0.667 0.333 0.711


10.
The following is a PBE-GGA calculation of a relaxed Ba2SiBr crystal, from Alexandria.

**ΔE_f (raw)**: -0.6779 eV per atom
**E**: -3.413 eV per atom

Unit cell a=7.285 b=7.285 c=9.426 alpha=67.27 beta=67.27 gamma=90.00
Fractional positions:
Si: 0.500 0.500 0.000
Si: 0.250 0.750 0.500
Ba: 0.605 0.125 0.250
Ba: 0.145 0.625 0.250
Ba: 0.375 0.395 0.750
Ba: 0.875 0.855 0.750
Br: 0.000 0.000 0.000
Br: 0.750 0.250 0.500


11.
The following is a PBE-GGA calculation of a relaxed Cs2RbPPd crystal, from Alexandria.

**Formation enthalpy at 0 K**: -99 meV/atom
**E**: -2.754 eV per atom

Unit cell a=7.231 b=7.231 c=4.537 alpha=90.00 beta=90.00 gamma=90.00
Fractional positions:
Cs: 0.000 0.500 0.000
Cs: 0.500 0.000 0.000
P: 0.000 0.000 0.000
Rb: 0.500 0.500 0.500
Pd: 0.000 0.000 0.500


12.
The following is a PBE-GGA calculation of a relaxed MgReTe2 crystal, from Alexandria.

**ΔE_f (raw)**: 0.2906 eV per atom
**E**: -4.791 eV per atom

Unit cell a=10.252 b=10.252 c=10.252 alpha=19.02 beta=19.02 gamma=19.02
Fractional positions:
Re: 0.500 0.500 0.500
Mg: 0.000 0.000 0.000
Te: 0.103 0.103 0.103
Te: 0.897 0.897 0.897


13.
The following is a PBE-GGA calculation of a relaxed CuH6SO7 crystal, from Alexandria.

**E**: -5.268 eV per atom

Unit cell a=7.293 b=7.293 c=7.372 alpha=87.82 beta=87.82 gamma=135.14
Fractional positions:
Cu: 0.134 0.865 0.007
Cu: 0.865 0.134 0.507
H: 0.179 0.971 0.654
H: 0.971 0.179 0.154
H: 0.426 0.032 0.718
H: 0.032 0.426 0.218
H: 0.277 0.440 0.711
H: 0.440 0.277 0.211
H: 0.352 0.408 0.515
H: 0.408 0.352 0.015
H: 0.718 0.397 0.978
H: 0.397 0.718 0.478
H: 0.885 0.509 0.782
H: 0.509 0.885 0.282
S: 0.623 0.852 0.925
S: 0.852 0.623 0.425
O: 0.671 0.004 0.752
O: 0.004 0.671 0.252
O: 0.867 0.478 0.559
O: 0.478 0.867 0.059
O: 0.463 0.576 0.886
O: 0.576 0.463 0.386
O: 0.968 0.873 0.493
O: 0.873 0.968 0.993
O: 0.297 0.036 0.754
O: 0.036 0.297 0.254
O: 0.229 0.408 0.582
O: 0.408 0.229 0.082
O: 0.899 0.518 0.917
O: 0.518 0.899 0.417


14.
The following is a PBE-GGA calculation of a relaxed Ta5Nb4Pt2 crystal, from Alexandria.

**Formation enthalpy at 0 K**: -238 meV/atom
**E**: -10.386 eV per atom

Unit cell a=2.839 b=7.328 c=12.847 alpha=57.44 beta=104.65 gamma=76.52
Fractional positions:
Ta: 0.383 0.184 0.363
Ta: 0.617 0.816 0.637
Ta: 0.128 0.731 0.455
Ta: 0.500 0.000 0.000
Ta: 0.872 0.269 0.545
Nb: 0.668 0.648 0.271
Nb: 0.929 0.116 0.170
Nb: 0.332 0.352 0.729
Nb: 0.071 0.884 0.830
Pt: 0.170 0.546 0.100
Pt: 0.830 0.454 0.900


15.
The following is a PBE-GGA calculation of a relaxed K2ZrRh crystal, from Alexandria.

**Formation enthalpy at 0 K**: 165 meV/atom
**E**: -4.359 eV per atom

Unit cell a=3.782 b=3.782 c=11.760 alpha=81.44 beta=81.44 gamma=59.55
Fractional positions:
K: 0.989 0.989 0.035
K: 0.779 0.779 0.672
Rh: 0.514 0.514 0.455
Zr: 0.218 0.218 0.338


16.
The following is a PBE-GGA calculation of a relaxed ZnFeTe2 crystal, from Alexandria.

**ΔE_f (raw)**: 0.2532 eV per atom
**E**: -3.752 eV per atom

Unit cell a=3.820 b=3.125 c=8.304 alpha=109.96 beta=90.00 gamma=90.00
Fractional positions:
Fe: 0.500 0.750 0.750
Te: 0.000 0.175 0.973
Te: 0.000 0.325 0.527
Zn: 0.500 0.250 0.250


17.
The following is a PBE-GGA calculation of a relaxed Nd2InCu crystal, from Alexandria.

**Formation enthalpy at 0 K**: -304 meV/atom
**E**: -4.397 eV per atom

Unit cell a=3.642 b=3.642 c=7.900 alpha=90.00 beta=90.00 gamma=90.00
Fractional positions:
Nd: 0.000 0.000 0.775
Nd: 0.000 0.000 0.225
Cu: 0.500 0.500 0.000
In: 0.500 0.500 0.500


18.
The following is a PBE-GGA calculation of a relaxed BiPdPt crystal, from Alexandria.

**Formation enthalpy at 0 K**: -185 meV/atom
**E**: -5.223 eV per atom

Unit cell a=5.228 b=4.723 c=5.320 alpha=90.00 beta=116.77 gamma=90.00
Fractional positions:
Bi: 0.277 0.250 0.273
Bi: 0.723 0.750 0.727
Pd: 0.037 0.250 0.669
Pd: 0.963 0.750 0.331
Pt: 0.672 0.250 0.028
Pt: 0.328 0.750 0.972


19.
The following is a PBE-GGA calculation of a relaxed CuSi3H crystal, from Alexandria.

**E**: -4.172 eV per atom

Unit cell a=3.920 b=3.920 c=3.920 alpha=90.00 beta=90.00 gamma=90.00
Fractional positions:
H: 0.000 0.000 0.000
Si: 0.000 0.500 0.000
Si: 0.000 0.000 0.500
Si: 0.500 0.000 0.000
Cu: 0.500 0.500 0.500